Compound: NpFe2PdO6
Source: Alexandria
Functional: PBE+U
Structure: relaxed

Cell: 6.0199 6.0199 5.0158 Å, 111.35 111.35 55.72°
Positions (direct):
1 Np 0.0000 0.0000 0.0000
2 Fe 0.2445 0.2445 0.6368
3 Fe 0.7555 0.7555 0.3632
4 Pd 0.5000 0.5000 0.5000
5 O 0.1581 0.6363 0.6444
6 O 0.1647 0.1647 0.9390
7 O 0.3637 0.8419 0.3556
8 O 0.6363 0.1581 0.6444
9 O 0.8353 0.8353 0.0610
10 O 0.8419 0.3637 0.3556

Properties
DOS(E_F) = 0.35 states/eV/atom
uncorrected energy = -7.651 eV/atom